Entry 1:
First-principles (PBE with a Hubbard U) data for crystalline VRuN2O at its relaxed geometry, as listed in the Alexandria database.

Lattice parameters (Å, degrees): 3.861 3.861 3.663 90.00 90.00 90.00
Fractional positions:
V 0.000 0.000 0.000
Ru 0.500 0.500 0.500
N 0.000 0.500 0.000
N 0.500 0.000 0.000
O 0.000 0.000 0.500

The space-group type is P4/mmm (123). The calculation puts the total energy at -35.1 eV per formula unit.

***

Entry 2:
First-principles (PBE with a Hubbard U) data for crystalline VRuNO2 at its relaxed geometry, as listed in the Alexandria database.

Lattice parameters (Å, degrees): 3.953 3.953 3.731 90.00 90.00 90.00
Fractional positions:
V 0.000 0.000 0.000
Ru 0.500 0.500 0.500
N 0.500 0.500 0.000
O 0.000 0.500 0.500
O 0.500 0.000 0.500

The space-group type is P4/mmm (123). The calculation puts the total energy at -33.8 eV per formula unit.

***

no.,M_tot (μB per cell)
1,3.0
2,0.4